Compound: Ce3YSe6
Source: Alexandria via LeMat-Bulk
Functional: PBE-GGA
Structure: optimized geometry

Cell lengths 8.532, 8.532, 8.532 Å; angles 98.99, 98.99, 98.99 degrees
Positions (direct):
Ce (0.122, 0.789, 0.616)
Ce (0.211, 0.384, 0.878)
Ce (0.384, 0.878, 0.211)
Ce (0.616, 0.122, 0.789)
Ce (0.789, 0.616, 0.122)
Ce (0.878, 0.211, 0.384)
Y (0.000, 0.000, 0.000)
Y (0.500, 0.500, 0.500)
Se (0.065, 0.683, 0.924)
Se (0.076, 0.935, 0.317)
Se (0.178, 0.434, 0.548)
Se (0.317, 0.076, 0.935)
Se (0.434, 0.548, 0.178)
Se (0.452, 0.822, 0.566)
Se (0.548, 0.178, 0.434)
Se (0.566, 0.452, 0.822)
Se (0.683, 0.924, 0.065)
Se (0.822, 0.566, 0.452)
Se (0.924, 0.065, 0.683)
Se (0.935, 0.317, 0.076)

**Total moment**: 6.045 Bohr magnetons per cell
**E above lowest polymorph**: 4.8 meV per atom
**Total DFT energy (no corrections)**: -6.29 eV/atom
**Crystal system**: trigonal
**Volume**: 297.8 Å³/f.u.
**Theoretical density**: 5.48 g/cm3
**D(E_F)**: 1.9831 states/eV/atom
**Formation energy without anion corrections**: -1.776 eV per atom